## CrTcNO2 (PBE+U)

Data for a geometry-optimized CrTcNO2 structure.

abc: 3.6943 3.6943 3.9326
angles: 90.00 90.00 90.00
Space group P4/mmm (No. 123)
One atom of each set of equivalent atoms:
Cr  0.0000  0.0000  0.0000 x1
Tc  0.5000  0.5000  0.5000 x1
N  0.0000  0.0000  0.5000 x1
O  0.0000  0.5000  0.0000 x2

Calculated values
Size of the total moment   4.1 μB/f.u.
DOS at the Fermi energy   3.95 states/eV/f.u.
Volume   10.734 Å³ per atom
Raw total energy   -34.73 eV per cell